Computed, not measured: an optimized crystal structure of Cs3TbPa3Te8 at the PBE level of DFT.

Structure (POSCAR):
```
Cs3TbPa3Te8
1.0
8.861 0.000 0.000
-4.431 7.674 -0.031
0.001 -5.078 9.282
Pa Te Tb Cs
3 8 1 3
Cartesian
4.431 -2.539 4.641 Pa
2.215 1.298 4.626 Pa
-2.215 1.298 4.626 Pa
6.634 -1.261 2.852 Te
0.000 2.569 2.808 Te
-2.203 3.857 6.400 Te
2.227 -1.261 2.852 Te
0.000 0.040 6.415 Te
2.204 3.857 6.400 Te
4.430 2.556 2.836 Te
4.431 0.026 6.444 Te
0.000 -2.539 4.641 Tb
-2.215 3.837 -0.015 Cs
2.215 3.837 -0.015 Cs
0.000 0.000 0.000 Cs
```

## Properties
The calculation puts the formation energy from raw total energies at -1036 meV/atom. As for the symmetry: R-3m (166). The volume comes out at 41.99 Å³/atom.